1.
Below is a geometry-optimized CdB2Se structure, with properties calculated at the PBE level.

extended XYZ file:
```
8
Lattice="-2.655 2.655 4.592 2.655 -2.655 4.592 2.655 2.655 -4.592" Properties=species:S:1:pos:R:3 pbc="T T T"
Cd 0.000 0.000 0.000
Cd 0.000 2.655 2.296
B 1.328 -1.127 3.444
B 1.528 1.328 1.148
B 1.328 3.783 -1.148
B 1.127 1.328 5.739
Se 2.655 0.000 2.296
Se 0.000 0.000 4.592
```

## Properties
- Formation energy (no corrections): 906.6 meV per atom
- DOS at the Fermi energy: 0.702 states/eV per cell
- Spin magnetization: 0.0 μB per formula unit
- DFT total energy: -3.53 eV per atom

=====

2.
Below is a geometry-optimized BaCa2Al structure, with properties calculated at the PBE level.

extended XYZ file:
```
4
Lattice="3.942 0.000 0.000 0.000 5.283 0.000 -1.658 0.000 7.293" Properties=species:S:1:pos:R:3 pbc="T T T"
Ba 0.000 0.000 0.000
Ca 0.338 2.641 5.142
Ca 1.946 2.641 2.151
Al -0.829 0.000 3.647
```

## Properties
- Calculated formation energy: 0.06 eV per atom
- DOS at the Fermi energy: 5.032 states/eV per cell
- Spin magnetization: 0.0 μB per formula unit
- DFT total energy: -2.35 eV per atom

=====

3.
Below is a geometry-optimized Li2FeRu structure, with properties calculated at the PBE level.

extended XYZ file:
```
4
Lattice="3.495 0.000 0.000 0.000 3.495 0.000 0.000 0.000 4.314" Properties=species:S:1:pos:R:3 pbc="T T T"
Li 0.000 1.747 0.000
Li 1.747 0.000 0.000
Fe 0.000 0.000 2.157
Ru 1.747 1.747 2.157
```

## Properties
- Calculated formation energy: 0.25 eV per atom
- DOS at the Fermi energy: 3.217 states/eV per cell
- Spin magnetization: 3.3 μB per formula unit
- DFT total energy: -5.14 eV per atom

=====

4.
Below is a geometry-optimized HfSnSe3 structure, with properties calculated at the PBE level.

extended XYZ file:
```
5
Lattice="5.145 0.000 0.000 0.000 5.145 0.000 0.000 0.000 5.145" Properties=species:S:1:pos:R:3 pbc="T T T"
Hf 0.000 0.000 0.000
Sn 2.573 2.573 2.573
Se 0.000 2.573 2.573
Se 2.573 0.000 2.573
Se 2.573 2.573 0.000
```

## Properties
- Formation energy (no corrections): 460.2 meV per atom
- DOS at the Fermi energy: 4.102 states/eV per cell
- Spin magnetization: 0.0 μB per formula unit
- DFT total energy: -4.42 eV per atom

=====

5.
Below is a geometry-optimized BaTiAs2 structure, with properties calculated at the PBE level.

extended XYZ file:
```
4
Lattice="0.000 3.629 3.629 3.629 0.000 3.629 3.629 3.629 0.000" Properties=species:S:1:pos:R:3 pbc="T T T"
Ba 0.000 0.000 0.000
Ti 3.629 3.629 3.629
As 1.815 1.815 1.815
As 5.444 5.444 5.444
```

## Properties
- Calculated formation energy: -0.26 eV per atom
- DOS at the Fermi energy: 6.655 states/eV per cell
- Spin magnetization: 0.9 μB per formula unit
- DFT total energy: -5.04 eV per atom

=====

6.
Below is a geometry-optimized LaBeF3 structure, with properties calculated at the PBE level.

extended XYZ file:
```
5
Lattice="4.011 0.000 0.000 0.000 4.011 0.000 0.000 0.000 4.011" Properties=species:S:1:pos:R:3 pbc="T T T"
La 0.000 0.000 0.000
Be 2.005 2.005 2.005
F 0.000 2.005 2.005
F 2.005 0.000 2.005
F 2.005 2.005 0.000
```

## Properties
- Formation energy (no corrections): -2167.0 meV per atom
- DOS at the Fermi energy: 4.829 states/eV per cell
- Spin magnetization: 0.5 μB per formula unit
- DFT total energy: -5.02 eV per atom

=====

- Which value of DOS at the Fermi energy does entry 5 give?
  6.655 states/eV per cell